# Sm4S3

A geometry-optimized Sm4S3 structure (PBE, Alexandria).

Unit cell a=13.214 b=13.214 c=13.214 alpha=17.22 beta=17.22 gamma=17.22
Fractional positions:
Sm: 0.122 0.122 0.122
Sm: 0.373 0.373 0.373
Sm: 0.627 0.627 0.627
Sm: 0.878 0.878 0.878
S: 0.252 0.252 0.252
S: 0.500 0.500 0.500
S: 0.748 0.748 0.748

## Properties
For the total DFT energy (no corrections), the calculation gives -6.170 eV per atom. The total moment comes out at 0.000 μB/atom. The volume is 25.20 Å³ per atom. Its space group is R-3m. The calculation puts the uncorrected formation energy at -1151 kJ/mol of formula units.

---

# CsTc4

A geometry-optimized CsTc4 structure (PBE, Alexandria).

Unit cell a=4.829 b=4.829 c=4.829 alpha=90.00 beta=90.00 gamma=90.00
Fractional positions:
Cs: 0.000 0.000 0.000
Tc: 0.000 0.000 0.500
Tc: 0.000 0.500 0.000
Tc: 0.500 0.000 0.000
Tc: 0.500 0.500 0.500

## Properties
For the total DFT energy (no corrections), the calculation gives -5.018 eV per atom. The total moment comes out at 0.147 μB/atom. The volume is 22.52 Å³ per atom. Its space group is Pm-3m. Its formation energy is 3445 meV per atom.

---

# PuCu2AgCl8

A geometry-optimized PuCu2AgCl8 structure (PBE, Alexandria).

Unit cell a=6.584 b=6.886 c=8.007 alpha=72.59 beta=88.29 gamma=78.24
Fractional positions:
Pu: 0.000 0.000 0.000
Cu: 0.459 0.370 0.681
Cu: 0.541 0.630 0.319
Ag: 0.000 0.000 0.500
Cl: 0.114 0.197 0.201
Cl: 0.151 0.246 0.726
Cl: 0.358 0.739 0.060
Cl: 0.376 0.721 0.549
Cl: 0.624 0.279 0.451
Cl: 0.642 0.261 0.940
Cl: 0.849 0.754 0.274
Cl: 0.886 0.803 0.799

## Properties
For the total DFT energy (no corrections), the calculation gives -4.325 eV per atom. The total moment comes out at 0.248 μB/atom. The volume is 28.24 Å³ per atom. Its space group is P-1. The calculation puts the uncorrected formation energy at -1133 kJ/mol of formula units.

---

# Pr2Ga3Os

A geometry-optimized Pr2Ga3Os structure (PBE, Alexandria).

Unit cell a=5.481 b=5.481 c=5.481 alpha=61.87 beta=61.87 gamma=61.87
Fractional positions:
Pr: 0.126 0.126 0.126
Pr: 0.874 0.874 0.874
Ga: 0.000 0.500 0.500
Ga: 0.500 0.000 0.500
Ga: 0.500 0.500 0.000
Os: 0.500 0.500 0.500

## Properties
For the total DFT energy (no corrections), the calculation gives -5.388 eV per atom. The total moment comes out at 0.000 μB/atom. The volume is 20.21 Å³ per atom. Its space group is R-3m. Its formation energy is -409 meV per atom.

---

# LaZnSn

A geometry-optimized LaZnSn structure (PBE, Alexandria).

Unit cell a=8.600 b=8.600 c=8.600 alpha=158.46 beta=158.46 gamma=30.65
Fractional positions:
La: 0.000 0.000 0.000
Zn: 0.642 0.642 0.000
Sn: 0.804 0.804 0.000

## Properties
For the total DFT energy (no corrections), the calculation gives -3.302 eV per atom. The total moment comes out at 0.000 μB/atom. The volume is 28.57 Å³ per atom. Its space group is I4mm. Its formation energy is 100 meV per atom.

---

# V2Pd3

A geometry-optimized V2Pd3 structure (PBE, Alexandria).

Unit cell a=9.918 b=9.918 c=9.918 alpha=164.20 beta=164.20 gamma=22.41
Fractional positions:
V: 0.100 0.100 0.000
V: 0.900 0.900 0.000
Pd: 0.306 0.306 0.000
Pd: 0.500 0.500 0.000
Pd: 0.694 0.694 0.000

## Properties
For the total DFT energy (no corrections), the calculation gives -6.983 eV per atom. The total moment comes out at 0.000 μB/atom. The volume is 14.45 Å³ per atom. Its space group is I4/mmm. Its formation energy is -220 meV per atom.

---

Summary of mass density in g/cm3
6.568, 7.740, 3.737, 9.328, 6.258, 9.676
(order as listed above)